Record 1
Here is an optimized crystal structure of Sm5Sc4In4 from the Alexandria database. Energies are from GGA-PBE.

Values from the calculation:
total DFT energy (no corrections): -4.90 eV/atom
total magnetization: 0.00 Bohr magnetons per cell
N(E_F): 15.62 states/eV/f.u.

Cell and atoms, written as CIF:
```
data_Sm5Sc4In4
_chemical_formula_sum 'Sm10 Sc8 In8'
_cell_length_a 12.395
_cell_length_b 12.395
_cell_length_c 4.807
_cell_angle_alpha 90.00
_cell_angle_beta 90.00
_cell_angle_gamma 90.00
_symmetry_space_group_name_H-M 'I 4/m'
_symmetry_Int_Tables_number 87
_symmetry_space_group_name_Hall '-I 4'
loop_
_atom_site_label
_atom_site_fract_x
_atom_site_fract_y
_atom_site_fract_z
Sm1 0.000 0.000 0.000
Sm2 0.112 0.804 0.500
Sc1 0.084 0.404 0.500
In1 0.080 0.249 0.000
```



Record 2
Here is an optimized crystal structure of SmScIn from the Alexandria database. Energies are from GGA-PBE.

Values from the calculation:
total magnetization: 0.00 Bohr magnetons per cell
N(E_F): 3.94 states/eV/f.u.
relative energy among the computed polymorphs: 0.818 eV/f.u.

Cell and atoms, written as CIF:
```
data_SmScIn
_chemical_formula_sum 'Sm1 Sc1 In1'
_cell_length_a 5.2417
_cell_length_b 5.2417
_cell_length_c 3.1923
_cell_angle_alpha 90.00
_cell_angle_beta 90.00
_cell_angle_gamma 120.00
_symmetry_space_group_name_H-M 'P 3 m 1'
_symmetry_Int_Tables_number 156
loop_
_symmetry_equiv_pos_as_xyz
'x,y,z'
'-y,x-y,z'
'-x+y,-x,z'
'-y,-x,z'
'-x+y,y,z'
'x,x-y,z'
loop_
_atom_site_label
_atom_site_fract_x
_atom_site_fract_y
_atom_site_fract_z
Sm1 0.0000 0.0000 0.0000
Sc1 0.6667 0.3333 0.0024
In1 0.3333 0.6667 0.5012
```